Computed, not measured: a geometry-optimized CdH2Rh structure at the PBEsol level of DFT.

Computed properties:
Uncorrected energy = -0.294 Ry per atom
Space-group type = I-42d

POSCAR file:
```
CdH2Rh
1.0
4.118 0.000 0.000
0.000 4.118 0.000
-2.059 -2.059 4.787
H Rh Cd
4 2 2
direct
0.479 0.875 0.250
0.771 0.375 0.250
0.125 0.229 0.750
0.625 0.521 0.750
0.750 0.250 0.500
0.500 0.500 0.000
0.250 0.750 0.500
0.000 0.000 0.000
```